1.
Computed, not measured: a relaxed structure of Rb2VAgF6 at the GGA+U level of DFT.

Output
Total moment in μB/f.u.: 2.0
E_tot in Ha/atom: -0.1769
Calculated volume in Å³ per cell: 173

abc: 6.258 6.258 6.258
angles: 119.93 119.93 90.12
Element x y z (fractional)
Rb1 0.250 0.750 0.500
Rb2 0.750 0.250 0.500
V1 0.000 0.000 0.000
Ag1 0.500 0.500 0.000
F1 0.221 0.221 0.000
F2 0.225 0.225 0.450
F3 0.225 0.775 0.000
F4 0.775 0.225 0.000
F5 0.775 0.775 0.550
F6 0.779 0.779 0.000

=====

2.
Computed, not measured: a relaxed structure of RbAg2WF8 at the GGA+U level of DFT.

Output
Total moment in μB/f.u.: 1.0
E_tot in Ha/atom: -0.1597
Calculated volume in Å³ per cell: 231

abc: 5.455 5.455 8.958
angles: 90.00 90.00 120.00
Element x y z (fractional)
Rb1 0.000 0.000 0.000
Ag1 0.333 0.667 0.280
Ag2 0.667 0.333 0.720
W1 0.000 0.000 0.500
F1 0.164 0.328 0.633
F2 0.164 0.836 0.633
F3 0.328 0.164 0.367
F4 0.333 0.667 0.047
F5 0.667 0.333 0.953
F6 0.672 0.836 0.633
F7 0.836 0.164 0.367
F8 0.836 0.672 0.367